Computed, not measured: a relaxed Co2AgSb crystal at the PBE level of DFT.

Cell and atoms, written as CIF:
```
data_Co2AgSb
_chemical_formula_sum 'Co2 Ag1 Sb1'
_space_group_name_H-M_alt 'P 1'
_space_group_IT_number 1
_cell_length_a 4.446
_cell_length_b 4.446
_cell_length_c 4.446
_cell_angle_alpha 60.00
_cell_angle_beta 60.00
_cell_angle_gamma 60.00
loop_
_space_group_symop_operation_xyz
'x,y,z'
loop_
_atom_site_label
_atom_site_type_symbol
_atom_site_fract_x
_atom_site_fract_y
_atom_site_fract_z
Ag1 Ag 0.500 0.500 0.500
Co1 Co 0.000 0.000 0.000
Co2 Co 0.250 0.250 0.250
Sb1 Sb 0.750 0.750 0.750
```

Computed properties:
The calculation puts the formation energy without anion corrections at 428.7 meV per atom. For the calculated density, the calculation gives 9.29 g/cm3. The symmetry is F-43m.

---

Computed, not measured: a relaxed SmGa2Cu5 crystal at the PBE level of DFT.

Cell and atoms, written as CIF:
```
data_SmGa2Cu5
_chemical_formula_sum 'Sm1 Ga2 Cu5'
_space_group_name_H-M_alt 'P 1'
_space_group_IT_number 1
_cell_length_a 3.871
_cell_length_b 6.211
_cell_length_c 6.211
_cell_angle_alpha 66.94
_cell_angle_beta 71.84
_cell_angle_gamma 71.84
loop_
_space_group_symop_operation_xyz
'x,y,z'
loop_
_atom_site_label
_atom_site_type_symbol
_atom_site_fract_x
_atom_site_fract_y
_atom_site_fract_z
Sm1 Sm 0.000 0.000 0.000
Ga1 Ga 0.748 0.752 0.752
Ga2 Ga 0.252 0.248 0.248
Cu1 Cu 0.000 0.500 0.500
Cu2 Cu 0.633 0.549 0.185
Cu3 Cu 0.367 0.451 0.815
Cu4 Cu 0.367 0.815 0.451
Cu5 Cu 0.633 0.185 0.549
```

Computed properties:
For the calculated density, the calculation gives 7.91 g/cm3. The formation energy from the elements comes out at -0.21 eV per atom. The symmetry is Immm.

---

Computed, not measured: a relaxed CuAuBr crystal at the PBE level of DFT.

Cell and atoms, written as CIF:
```
data_CuAuBr
_chemical_formula_sum 'Cu1 Au1 Br1'
_space_group_name_H-M_alt 'P 1'
_space_group_IT_number 1
_cell_length_a 4.471
_cell_length_b 4.471
_cell_length_c 4.471
_cell_angle_alpha 60.00
_cell_angle_beta 60.00
_cell_angle_gamma 60.00
loop_
_space_group_symop_operation_xyz
'x,y,z'
loop_
_atom_site_label
_atom_site_type_symbol
_atom_site_fract_x
_atom_site_fract_y
_atom_site_fract_z
Au1 Au 0.000 0.000 0.000
Br1 Br 0.500 0.500 0.500
Cu1 Cu 0.750 0.750 0.750
```

Computed properties:
The calculation puts the formation energy without anion corrections at 320.0 meV per atom. For the calculated density, the calculation gives 8.95 g/cm3. The value obtained for the energy above the most stable polymorph in this dataset is 79 kJ/mol of formula units. The symmetry is F-43m.

---

Computed, not measured: a relaxed SrAg12Ge6 crystal at the PBE level of DFT.

Cell and atoms, written as CIF:
```
data_SrAg12Ge6
_chemical_formula_sum 'Sr1 Ag12 Ge6'
_space_group_name_H-M_alt 'P 1'
_space_group_IT_number 1
_cell_length_a 7.677
_cell_length_b 7.677
_cell_length_c 7.677
_cell_angle_alpha 105.34
_cell_angle_beta 105.34
_cell_angle_gamma 105.34
loop_
_space_group_symop_operation_xyz
'x,y,z'
loop_
_atom_site_label
_atom_site_type_symbol
_atom_site_fract_x
_atom_site_fract_y
_atom_site_fract_z
Sr1 Sr 0.000 0.000 0.000
Ag1 Ag 0.882 0.118 0.500
Ag2 Ag 0.838 0.597 0.597
Ag3 Ag 0.597 0.597 0.838
Ag4 Ag 0.403 0.162 0.403
Ag5 Ag 0.403 0.403 0.162
Ag6 Ag 0.162 0.403 0.403
Ag7 Ag 0.118 0.500 0.882
Ag8 Ag 0.500 0.882 0.118
Ag9 Ag 0.118 0.882 0.500
Ag10 Ag 0.882 0.500 0.118
Ag11 Ag 0.500 0.118 0.882
Ag12 Ag 0.597 0.838 0.597
Ge1 Ge 0.697 0.266 0.266
Ge2 Ge 0.266 0.266 0.697
Ge3 Ge 0.266 0.697 0.266
Ge4 Ge 0.734 0.734 0.303
Ge5 Ge 0.303 0.734 0.734
Ge6 Ge 0.734 0.303 0.734
```

Computed properties:
For the calculated density, the calculation gives 7.69 g/cm3. The formation energy from the elements comes out at 0.12 eV per atom. The symmetry is R-3m.

---

Computed, not measured: a relaxed K4Y3GaO8 crystal at the PBE level of DFT.

Cell and atoms, written as CIF:
```
data_K4Y3GaO8
_chemical_formula_sum 'K4 Y3 Ga1 O8'
_space_group_name_H-M_alt 'P 1'
_space_group_IT_number 1
_cell_length_a 6.804
_cell_length_b 7.373
_cell_length_c 6.806
_cell_angle_alpha 117.50
_cell_angle_beta 119.99
_cell_angle_gamma 90.00
loop_
_space_group_symop_operation_xyz
'x,y,z'
loop_
_atom_site_label
_atom_site_type_symbol
_atom_site_fract_x
_atom_site_fract_y
_atom_site_fract_z
K1 K 0.500 0.000 0.000
K2 K 0.500 0.000 0.500
K3 K 0.000 0.000 0.000
K4 K 0.000 0.000 0.500
Y1 Y 0.500 0.500 0.000
Y2 Y 0.500 0.500 0.500
Y3 Y 0.000 0.500 0.500
Ga1 Ga 0.000 0.500 0.000
O1 O 0.219 0.683 0.964
O2 O 0.219 0.683 0.438
O3 O 0.271 0.313 0.542
O4 O 0.746 0.683 0.964
O5 O 0.254 0.317 0.036
O6 O 0.729 0.687 0.458
O7 O 0.781 0.317 0.562
O8 O 0.781 0.317 0.036
```

Computed properties:
The calculation puts the formation energy without anion corrections at -2413.7 meV per atom. For the calculated density, the calculation gives 4.12 g/cm3. The symmetry is R-3m.

---

Computed, not measured: a relaxed LaGe2Pd crystal at the PBE level of DFT.

Cell and atoms, written as CIF:
```
data_LaGe2Pd
_chemical_formula_sum 'La2 Ge4 Pd2'
_space_group_name_H-M_alt 'P 1'
_space_group_IT_number 1
_cell_length_a 4.705
_cell_length_b 4.705
_cell_length_c 9.312
_cell_angle_alpha 75.37
_cell_angle_beta 75.37
_cell_angle_gamma 90.00
loop_
_space_group_symop_operation_xyz
'x,y,z'
loop_
_atom_site_label
_atom_site_type_symbol
_atom_site_fract_x
_atom_site_fract_y
_atom_site_fract_z
Ge1 Ge 0.493 0.125 0.250
Ge2 Ge 0.257 0.625 0.250
Ge3 Ge 0.375 0.507 0.750
Ge4 Ge 0.875 0.743 0.750
Pd1 Pd 0.500 0.500 0.000
Pd2 Pd 0.250 0.750 0.500
La1 La 0.000 0.000 0.000
La2 La 0.750 0.250 0.500
```

Computed properties:
For the calculated density, the calculation gives 6.74 g/cm3. The formation energy from the elements comes out at -0.54 eV per atom. The symmetry is I-42d.

---

Computed, not measured: a relaxed BeRuCl2 crystal at the PBE level of DFT.

Cell and atoms, written as CIF:
```
data_BeRuCl2
_chemical_formula_sum 'Be1 Ru1 Cl2'
_space_group_name_H-M_alt 'P 1'
_space_group_IT_number 1
_cell_length_a 3.180
_cell_length_b 3.180
_cell_length_c 9.082
_cell_angle_alpha 90.00
_cell_angle_beta 90.00
_cell_angle_gamma 124.45
loop_
_space_group_symop_operation_xyz
'x,y,z'
loop_
_atom_site_label
_atom_site_type_symbol
_atom_site_fract_x
_atom_site_fract_y
_atom_site_fract_z
Ru1 Ru 0.000 0.000 0.528
Be1 Be 0.500 0.500 0.746
Cl1 Cl 0.000 0.000 0.897
Cl2 Cl 0.500 0.500 0.329
```

Computed properties:
The calculation puts the formation energy without anion corrections at -67.6 meV per atom. For the calculated density, the calculation gives 3.97 g/cm3. The value obtained for the energy above the most stable polymorph in this dataset is 65 kJ/mol of formula units. The symmetry is Cmm2.

---

Computed, not measured: a relaxed Li2BeVBi crystal at the PBE level of DFT.

Cell and atoms, written as CIF:
```
data_Li2BeVBi
_chemical_formula_sum 'Li2 Be1 V1 Bi1'
_space_group_name_H-M_alt 'P 1'
_space_group_IT_number 1
_cell_length_a 4.752
_cell_length_b 4.539
_cell_length_c 4.752
_cell_angle_alpha 90.00
_cell_angle_beta 90.00
_cell_angle_gamma 90.00
loop_
_space_group_symop_operation_xyz
'x,y,z'
loop_
_atom_site_label
_atom_site_type_symbol
_atom_site_fract_x
_atom_site_fract_y
_atom_site_fract_z
Be1 Be 0.000 0.500 0.000
Li1 Li 0.000 0.000 0.500
Li2 Li 0.500 0.000 0.000
Bi1 Bi 0.500 0.500 0.500
V1 V 0.000 0.000 0.000
```

Computed properties:
For the calculated density, the calculation gives 4.58 g/cm3. The formation energy from the elements comes out at 0.88 eV per atom. The symmetry is P4/mmm.

---

Computed, not measured: a relaxed KCoAu2 crystal at the PBE level of DFT.

Cell and atoms, written as CIF:
```
data_KCoAu2
_chemical_formula_sum 'K1 Co1 Au2'
_space_group_name_H-M_alt 'P 1'
_space_group_IT_number 1
_cell_length_a 5.409
_cell_length_b 5.409
_cell_length_c 5.409
_cell_angle_alpha 134.16
_cell_angle_beta 134.16
_cell_angle_gamma 66.83
loop_
_space_group_symop_operation_xyz
'x,y,z'
loop_
_atom_site_label
_atom_site_type_symbol
_atom_site_fract_x
_atom_site_fract_y
_atom_site_fract_z
Au1 Au 0.000 0.000 0.000
Au2 Au 0.250 0.750 0.500
Co1 Co 0.500 0.500 0.000
K1 K 0.750 0.250 0.500
```

Computed properties:
For the calculated density, the calculation gives 10.19 g/cm3. The formation energy from the elements comes out at 0.57 eV per atom. The value obtained for the energy above the most stable polymorph in this dataset is 145 kJ/mol of formula units. The symmetry is I-4m2.

---

Computed, not measured: a relaxed LaPm2Al3 crystal at the PBE level of DFT.

Cell and atoms, written as CIF:
```
data_LaPm2Al3
_chemical_formula_sum 'La1 Pm2 Al3'
_space_group_name_H-M_alt 'P 1'
_space_group_IT_number 1
_cell_length_a 3.733
_cell_length_b 3.733
_cell_length_c 11.202
_cell_angle_alpha 90.00
_cell_angle_beta 90.00
_cell_angle_gamma 90.00
loop_
_space_group_symop_operation_xyz
'x,y,z'
loop_
_atom_site_label
_atom_site_type_symbol
_atom_site_fract_x
_atom_site_fract_y
_atom_site_fract_z
La1 La 0.500 0.500 0.500
Pm1 Pm 0.500 0.500 0.837
Pm2 Pm 0.500 0.500 0.163
Al1 Al 0.000 0.000 0.000
Al2 Al 0.000 0.000 0.676
Al3 Al 0.000 0.000 0.324
```

Computed properties:
For the calculated density, the calculation gives 5.42 g/cm3. The formation energy from the elements comes out at -0.36 eV per atom. The symmetry is P4/mmm.

---

Computed, not measured: a relaxed DyTmCu crystal at the PBE level of DFT.

Cell and atoms, written as CIF:
```
data_DyTmCu
_chemical_formula_sum 'Dy1 Tm1 Cu1'
_space_group_name_H-M_alt 'P 1'
_space_group_IT_number 1
_cell_length_a 4.807
_cell_length_b 4.807
_cell_length_c 4.807
_cell_angle_alpha 60.00
_cell_angle_beta 60.00
_cell_angle_gamma 60.00
loop_
_space_group_symop_operation_xyz
'x,y,z'
loop_
_atom_site_label
_atom_site_type_symbol
_atom_site_fract_x
_atom_site_fract_y
_atom_site_fract_z
Tm1 Tm 0.500 0.500 0.500
Cu1 Cu 0.250 0.250 0.250
Dy1 Dy 0.000 0.000 0.000
```

Computed properties:
For the calculated density, the calculation gives 8.35 g/cm3. The formation energy from the elements comes out at 0.04 eV per atom. The value obtained for the energy above the most stable polymorph in this dataset is 61 kJ/mol of formula units. The symmetry is F-43m.

---

Computed, not measured: a relaxed Tb5Dy4Th2 crystal at the PBE level of DFT.

Cell and atoms, written as CIF:
```
data_Tb5Dy4Th2
_chemical_formula_sum 'Tb5 Dy4 Th2'
_space_group_name_H-M_alt 'P 1'
_space_group_IT_number 1
_cell_length_a 3.487
_cell_length_b 8.787
_cell_length_c 11.751
_cell_angle_alpha 85.77
_cell_angle_beta 90.00
_cell_angle_gamma 90.00
loop_
_space_group_symop_operation_xyz
'x,y,z'
loop_
_atom_site_label
_atom_site_type_symbol
_atom_site_fract_x
_atom_site_fract_y
_atom_site_fract_z
Tb1 Tb 0.000 0.428 0.289
Tb2 Tb 0.000 0.804 0.162
Tb3 Tb 0.000 0.500 0.000
Tb4 Tb 0.000 0.196 0.838
Tb5 Tb 0.000 0.572 0.711
Dy1 Dy 0.500 0.305 0.545
Dy2 Dy 0.500 0.840 0.892
Dy3 Dy 0.500 0.695 0.455
Dy4 Dy 0.500 0.160 0.108
Th1 Th 0.000 0.964 0.634
Th2 Th 0.000 0.036 0.366
```

Computed properties:
For the calculated density, the calculation gives 8.83 g/cm3. The formation energy from the elements comes out at 0.14 eV per atom. The value obtained for the energy above the most stable polymorph in this dataset is 0 kJ/mol of formula units. The symmetry is P2/m.

---

Which of these has the highest calculated density?
KCoAu2